Below is crystalline La2TaV at its relaxed geometry, with properties calculated at the PBE level.

Properties
For the energy relative to the elements, the calculation gives 0.991 eV per atom. As for the polymorph energy (0 for the lowest one): 363 meV/atom.

Cell and atoms, written as CIF:
```
data_La2TaV
_chemical_formula_sum 'La8 Ta4 V4'
_cell_length_a 8.241
_cell_length_b 8.241
_cell_length_c 6.104
_cell_angle_alpha 90.00
_cell_angle_beta 90.00
_cell_angle_gamma 90.00
_symmetry_space_group_name_H-M 'I -4 2 d'
_symmetry_Int_Tables_number 122
_symmetry_space_group_name_Hall 'I -4 2bw'
loop_
_atom_site_label
_atom_site_fract_x
_atom_site_fract_y
_atom_site_fract_z
La1 0.232 0.250 0.125
Ta1 0.000 0.000 0.500
V1 0.000 0.000 0.000
```

Below is crystalline LaTaV3 at its relaxed geometry, with properties calculated at the PBE level.

Properties
For the energy relative to the elements, the calculation gives 0.994 eV per atom. As for the polymorph energy (0 for the lowest one): 0 meV/atom.

Cell and atoms, written as CIF:
```
data_LaTaV3
_chemical_formula_sum 'La1 Ta1 V3'
_cell_length_a 4.829
_cell_length_b 4.829
_cell_length_c 4.829
_cell_angle_alpha 90.00
_cell_angle_beta 90.00
_cell_angle_gamma 90.00
_symmetry_space_group_name_H-M 'P m -3 m'
_symmetry_Int_Tables_number 221
_symmetry_space_group_name_Hall '-P 4 2 3'
loop_
_atom_site_label
_atom_site_fract_x
_atom_site_fract_y
_atom_site_fract_z
La1 0.000 0.000 0.000
Ta1 0.500 0.500 0.500
V1 0.000 0.500 0.500
```

| no. | calculated density (g cm⁻³) | Fermi-level density of states (states/eV per cell) | E_tot (eV per atom) |
| --- | --- | --- | --- |
| 1 | 8.17 | 24.5 | -6.72 |
| 2 | 6.97 | 11.1 | -7.83 |